[1]
DFT (PBE-GGA) results for an optimized crystal structure of Y4CSe2N.

Properties
Formation energy without anion corrections: -1.459 eV/atom
SG: P2/m (10)
Spin magnetization: 0.00 μB/cell

```
Y4CSe2N
1.0
6.454 0.000 0.000
0.000 3.732 0.000
-2.154 0.000 6.537
Y C Se N
4 1 2 1
Direct
0.234 0.000 0.204
0.265 0.500 0.799
0.735 0.500 0.201
0.766 0.000 0.796
0.000 0.500 0.000
0.000 0.000 0.500
0.500 0.500 0.500
0.500 0.000 0.000
```

---

[2]
DFT (PBE-GGA) results for an optimized crystal structure of Ba5Cd4Hg.

Properties
SG: P4/mmm (123)
Spin magnetization: 0.00 μB/cell
Formation energy from the elements: -0.3628 eV per atom

```
Ba5Cd4Hg
1.0
4.234 0.000 0.000
0.000 4.234 0.000
0.000 0.000 21.410
Ba Cd Hg
5 4 1
Direct
0.000 0.000 0.000
0.000 0.000 0.201
0.000 0.000 0.402
0.000 0.000 0.598
0.000 0.000 0.799
0.500 0.500 0.100
0.500 0.500 0.301
0.500 0.500 0.699
0.500 0.500 0.900
0.500 0.500 0.500
```

---

[3]
DFT (PBE-GGA) results for an optimized crystal structure of KBa2Ge2.

Properties
Energy above the most stable polymorph in this dataset: 186 meV/atom
SG: I4/mmm (139)
Spin magnetization: 0.00 μB/cell
Formation energy from the elements: -0.1606 eV per atom

```
KBa2Ge2
1.0
-2.873 2.873 6.178
2.873 -2.873 6.178
2.873 2.873 -6.178
K Ba Ge
1 2 2
Direct
0.000 0.000 0.000
0.250 0.750 0.500
0.750 0.250 0.500
0.400 0.400 0.000
0.600 0.600 0.000
```

---

[4]
DFT (PBE-GGA) results for an optimized crystal structure of KCdTe.

Properties
Formation energy without anion corrections: -0.419 eV/atom
Energy above the most stable polymorph in this dataset: 186 meV/atom
SG: F-43m (216)
Spin magnetization: 0.00 μB/cell

```
KCdTe
1.0
0.000 3.911 3.911
3.911 0.000 3.911
3.911 3.911 0.000
K Cd Te
1 1 1
Direct
0.000 0.000 0.000
0.500 0.500 0.500
0.250 0.250 0.250
```

---

[5]
DFT (PBE-GGA) results for an optimized crystal structure of LiCr2P.

Properties
SG: F-43m (216)
Spin magnetization: 0.00 μB/cell
Formation energy from the elements: -0.1861 eV per atom

```
LiCr2P
1.0
0.000 2.800 2.800
2.800 0.000 2.800
2.800 2.800 0.000
Li Cr P
1 2 1
Direct
0.000 0.000 0.000
0.250 0.250 0.250
0.500 0.500 0.500
0.750 0.750 0.750
```

---

[6]
DFT (PBE-GGA) results for an optimized crystal structure of Rb2PaSn3O12.

Properties
Formation energy without anion corrections: -1.515 eV/atom
SG: R-3m (166)
Spin magnetization: 5.07 μB/cell

```
Rb2PaSn3O12
1.0
3.782 2.183 6.489
-3.782 2.183 6.489
0.000 -4.367 6.489
Rb Pa Sn O
2 1 3 12
Direct
0.117 0.117 0.117
0.883 0.883 0.883
0.500 0.500 0.500
0.000 0.500 0.500
0.500 0.000 0.500
0.500 0.500 0.000
0.171 0.572 0.572
0.173 0.173 0.581
0.173 0.581 0.173
0.419 0.827 0.827
0.428 0.428 0.829
0.428 0.829 0.428
0.572 0.171 0.572
0.572 0.572 0.171
0.581 0.173 0.173
0.827 0.419 0.827
0.827 0.827 0.419
0.829 0.428 0.428
```

---

[7]
DFT (PBE-GGA) results for an optimized crystal structure of HoMn2Ge2C.

Properties
SG: P4/mmm (123)
Spin magnetization: 1.24 μB/cell
Formation energy from the elements: -0.3418 eV per atom

```
HoMn2Ge2C
1.0
3.917 0.000 0.000
0.000 3.917 0.000
0.000 0.000 5.433
Ho Mn Ge C
1 2 2 1
Direct
0.000 0.000 0.000
0.000 0.500 0.500
0.500 0.000 0.500
0.500 0.500 0.225
0.500 0.500 0.775
0.000 0.000 0.500
```

---

[8]
DFT (PBE-GGA) results for an optimized crystal structure of SiTe2.

Properties
Formation energy without anion corrections: 0.306 eV/atom
SG: P6_3/mmc (194)
Spin magnetization: 0.00 μB/cell

```
SiTe2
1.0
4.039 0.000 0.000
-2.019 3.497 0.000
0.000 0.000 12.814
Si Te
2 4
Direct
0.333 0.667 0.250
0.667 0.333 0.750
0.000 0.000 0.115
0.000 0.000 0.385
0.000 0.000 0.615
0.000 0.000 0.885
```

---

[9]
DFT (PBE-GGA) results for an optimized crystal structure of Nd2DyHo4.

Properties
Energy above the most stable polymorph in this dataset: 80 meV/atom
SG: P2_1/m (11)
Spin magnetization: 0.00 μB/cell
Formation energy from the elements: 0.1347 eV per atom

```
Nd2DyHo4
1.0
6.104 0.000 0.000
0.000 6.604 0.000
-3.059 0.000 11.256
Nd Dy Ho
4 2 8
Direct
0.110 0.250 0.008
0.205 0.250 0.553
0.795 0.750 0.447
0.890 0.750 0.992
0.334 0.750 0.859
0.666 0.250 0.141
0.134 0.505 0.288
0.134 0.995 0.288
0.360 0.750 0.575
0.484 0.250 0.837
0.516 0.750 0.163
0.640 0.250 0.425
0.866 0.005 0.712
0.866 0.495 0.712
```

---

[10]
DFT (PBE-GGA) results for an optimized crystal structure of SmLu2Au.

Properties
SG: R-3m (166)
Spin magnetization: 0.00 μB/cell
Formation energy from the elements: -0.3005 eV per atom

```
SmLu2Au
1.0
1.838 1.061 9.800
-1.838 1.061 9.800
0.000 -2.123 9.800
Sm Lu Au
1 2 1
Direct
0.000 0.000 0.000
0.234 0.234 0.234
0.766 0.766 0.766
0.500 0.500 0.500
```

---

[11]
DFT (PBE-GGA) results for an optimized crystal structure of RbHPb.

Properties
Energy above the most stable polymorph in this dataset: 34 meV/atom
SG: Cm (8)
Spin magnetization: 0.00 μB/cell

```
RbHPb
1.0
6.650 -2.421 0.000
6.650 2.421 0.000
-4.015 0.000 6.176
Rb H Pb
2 2 2
Direct
0.000 0.000 0.000
0.600 0.600 0.627
0.439 0.439 0.764
0.661 0.661 0.076
0.278 0.278 0.521
0.827 0.827 0.305
```

---

[12]
DFT (PBE-GGA) results for an optimized crystal structure of HgF3.

Properties
Formation energy without anion corrections: -0.884 eV/atom
Energy above the most stable polymorph in this dataset: 224 meV/atom
SG: Immm (71)
Spin magnetization: 1.01 μB/cell

```
HgF3
1.0
-1.701 2.280 3.494
1.701 -2.280 3.494
1.701 2.280 -3.494
Hg F
1 3
Direct
0.000 0.000 0.000
0.203 0.703 0.500
0.500 0.500 0.000
0.797 0.297 0.500
```

---

[13]
DFT (PBE-GGA) results for an optimized crystal structure of HfMgInW2.

Properties
SG: P4/mmm (123)
Spin magnetization: 0.00 μB/cell
Formation energy from the elements: 2.1265 eV per atom

```
HfMgInW2
1.0
4.953 0.000 0.000
0.000 4.953 0.000
0.000 0.000 5.118
Hf Mg In W
1 1 1 2
Direct
0.000 0.000 0.000
0.500 0.500 0.000
0.000 0.000 0.500
0.000 0.500 0.500
0.500 0.000 0.500
```

---

[14]
DFT (PBE-GGA) results for an optimized crystal structure of Ac2Cd2Au.

Properties
SG: C2/m (12)
Spin magnetization: 0.00 μB/cell
Formation energy from the elements: -0.4514 eV per atom

```
Ac2Cd2Au
1.0
5.747 -2.432 0.000
5.747 2.432 0.000
-4.884 0.000 10.962
Ac Cd Au
4 4 2
Direct
0.015 0.015 0.338
0.189 0.189 0.118
0.811 0.811 0.882
0.985 0.985 0.662
0.351 0.351 0.442
0.475 0.475 0.113
0.525 0.525 0.887
0.649 0.649 0.558
0.280 0.280 0.672
0.720 0.720 0.328
```

---

[15]
DFT (PBE-GGA) results for an optimized crystal structure of Sr2ZrSc.

Properties
Energy above the most stable polymorph in this dataset: 374 meV/atom
SG: P4/mmm (123)
Spin magnetization: 1.35 μB/cell
Formation energy from the elements: 0.6509 eV per atom

```
Sr2ZrSc
1.0
5.989 0.000 0.000
0.000 5.989 0.000
0.000 0.000 3.817
Sr Zr Sc
2 1 1
Direct
0.000 0.500 0.000
0.500 0.000 0.000
0.000 0.000 0.500
0.500 0.500 0.500
```

---

[16]
DFT (PBE-GGA) results for an optimized crystal structure of PrSm5Pb4.

Properties
SG: C2/m (12)
Spin magnetization: 0.00 μB/cell
Formation energy from the elements: -0.4555 eV per atom

```
PrSm5Pb4
1.0
8.559 -2.434 0.000
8.559 2.434 0.000
-2.195 0.000 7.897
Pr Sm Pb
1 5 4
Direct
0.000 0.000 0.000
0.000 0.000 0.500
0.196 0.196 0.832
0.354 0.354 0.562
0.646 0.646 0.438
0.804 0.804 0.168
0.192 0.192 0.241
0.441 0.441 0.226
0.559 0.559 0.774
0.808 0.808 0.759
```

---

[17]
DFT (PBE-GGA) results for an optimized crystal structure of CdHgPCl2.

Properties
Formation energy without anion corrections: 0.290 eV/atom
Energy above the most stable polymorph in this dataset: 182 meV/atom
SG: P4/mmm (123)
Spin magnetization: 1.18 μB/cell

```
CdHgPCl2
1.0
5.321 0.000 0.000
0.000 5.321 0.000
0.000 0.000 5.132
Cd Hg P Cl
1 1 1 2
Direct
0.000 0.000 0.000
0.500 0.500 0.500
0.500 0.500 0.000
0.000 0.500 0.500
0.500 0.000 0.500
```

---

[18]
DFT (PBE-GGA) results for an optimized crystal structure of Th2Fe2Co15.

Properties
SG: R-3m (166)
Spin magnetization: 25.02 μB/cell
Formation energy from the elements: -0.1270 eV per atom

```
Th2Fe2Co15
1.0
4.188 2.418 4.063
-4.188 2.418 4.063
0.000 -4.836 4.063
Th Fe Co
2 2 15
Direct
0.155 0.155 0.155
0.845 0.845 0.845
0.402 0.402 0.402
0.598 0.598 0.598
0.000 0.500 0.500
0.154 0.154 0.648
0.154 0.648 0.154
0.214 0.500 0.786
0.214 0.786 0.500
0.352 0.846 0.846
0.500 0.000 0.500
0.500 0.214 0.786
0.500 0.500 0.000
0.500 0.786 0.214
0.648 0.154 0.154
0.786 0.214 0.500
0.786 0.500 0.214
0.846 0.352 0.846
0.846 0.846 0.352
```

---

[19]
DFT (PBE-GGA) results for an optimized crystal structure of Li2HgBr.

Properties
Formation energy without anion corrections: -0.724 eV/atom
Energy above the most stable polymorph in this dataset: 45 meV/atom
SG: P4mm (99)
Spin magnetization: 0.00 μB/cell

```
Li2HgBr
1.0
3.689 0.000 0.000
0.000 3.689 0.000
0.000 0.000 7.135
Li Hg Br
2 1 1
Direct
0.000 0.000 0.000
0.500 0.500 0.430
0.500 0.500 0.865
0.000 0.000 0.362
```

---

[20]
DFT (PBE-GGA) results for an optimized crystal structure of NaGaSb2.

Properties
Formation energy without anion corrections: -0.066 eV/atom
SG: R3m (160)
Spin magnetization: 0.00 μB/cell

```
NaGaSb2
1.0
1.889 1.091 8.642
-1.889 1.091 8.642
0.000 -2.181 8.642
Na Ga Sb
1 1 2
Direct
0.000 0.000 0.000
0.167 0.167 0.167
0.570 0.570 0.570
0.763 0.763 0.763
```

---

[21]
DFT (PBE-GGA) results for an optimized crystal structure of ZrAsRu2.

Properties
SG: Pmm2 (25)
Spin magnetization: 0.00 μB/cell
Formation energy from the elements: -0.2424 eV per atom

```
ZrAsRu2
1.0
3.149 0.000 0.000
0.000 3.874 0.000
0.000 0.000 5.370
Zr As Ru
1 1 2
Direct
0.000 0.000 0.000
0.500 0.500 0.320
0.000 0.000 0.482
0.500 0.500 0.795
```

---

[22]
DFT (PBE-GGA) results for an optimized crystal structure of AcPaSnSb.

Properties
Formation energy without anion corrections: -0.353 eV/atom
SG: F-43m (216)
Spin magnetization: 1.34 μB/cell

```
AcPaSnSb
1.0
0.000 3.917 3.917
3.917 0.000 3.917
3.917 3.917 0.000
Ac Pa Sn Sb
1 1 1 1
Direct
0.000 0.000 0.000
0.500 0.500 0.500
0.750 0.750 0.750
0.250 0.250 0.250
```

---

[23]
DFT (PBE-GGA) results for an optimized crystal structure of Mg2HgBr.

Properties
Formation energy without anion corrections: -0.384 eV/atom
Energy above the most stable polymorph in this dataset: 103 meV/atom
SG: P4mm (99)
Spin magnetization: 0.00 μB/cell

```
Mg2HgBr
1.0
3.501 0.000 0.000
0.000 3.501 0.000
0.000 0.000 8.644
Mg Hg Br
2 1 1
Direct
0.000 0.000 0.000
0.500 0.500 0.245
0.500 0.500 0.806
0.000 0.000 0.417
```